Computed, not measured: an optimized crystal structure of Li7Mn2Co3O12 at the PBE+U level of DFT.

Lattice parameters (Å, degrees): 7.6038 7.6038 11.8273 55.34 55.34 22.03
With the nearest neighbours (Å) after each atom.
Fractional positions:
Co: 0.0029 0.0029 0.4985  6 O 1.87-1.98
Co: 0.3340 0.3340 0.9980  6 O 1.93-1.96
Co: 0.3301 0.3301 0.5034  6 O 1.80-1.96
O: 0.1743 0.1743 0.1155  1 Co 1.94, 2 Mn 2.01, 1 Li 2.16
O: 0.8355 0.8355 0.3928  2 Co 1.93, 4 Li 1.98-2.11
O: 0.5071 0.5071 0.1156  3 Mn 1.94-2.08
O: 0.8405 0.8405 0.6057  3 Co 1.95-1.98, 3 Li 2.08-2.13
O: 0.4910 0.4910 0.3947  3 Co 1.96-1.98, 3 Li 2.09-2.10
O: 0.8250 0.8250 0.8937  1 Mn 1.93, 2 Co 1.96
O: 0.1600 0.1600 0.8879  3 Mn 1.96-2.05, 1 Li 2.17
O: 0.1562 0.1562 0.3809  1 Co 1.87, 5 Li 1.97-2.07
O: 0.4982 0.4982 0.6102  2 Co 1.94, 4 Li 1.96-2.08
O: 0.4930 0.4930 0.8803  1 Co 1.93, 2 Mn 2.03, 1 Li 2.16
O: 0.1819 0.1819 0.6155  1 Co 1.80, 2 Li 1.97
O: 0.8416 0.8416 0.1030  1 Mn 1.92, 2 Co 1.96
Mn: 0.6662 0.6662 0.0048  6 O 1.93-2.05
Mn: 0.9992 0.9992 0.9956  6 O 1.92-2.08
Li: 0.0128 0.0128 0.7240  5 O 2.07-2.23
Li: 0.6645 0.6645 0.4995  6 O 2.03-2.12
Li: 0.9979 0.9979 0.2623  6 O 1.98-2.21
Li: 0.3172 0.3172 0.2782  3 O 1.97-2.11
Li: 0.6633 0.6633 0.2638  4 O 1.97-2.20
Li: 0.3378 0.3378 0.7398  4 O 1.96-2.17
Li: 0.6698 0.6698 0.7363  4 O 1.97-2.16

ΔE to the lowest computed polymorph = 69 meV per atom
Crystal system = monoclinic
Calculated volume = 209.1 Å³ per cell
Final energy = -139.858 eV/cell
D(E_F) = 5.0 states/eV/f.u.
Total magnetic moment = 8.34 μB/cell
Symmetry = Cm